## CaTa (PBE)

Data for crystalline CaTa at its relaxed geometry.

Summary:
Formation enthalpy at 0 K   150 kJ/mol of formula units

Geometry as extended XYZ:
```
6
Lattice="-2.091 2.726 7.815 2.091 -2.726 7.815 2.091 2.726 -7.815" Properties=species:S:1:pos:R:3 pbc="T T T"
Ca 0.000 0.000 0.000
Ca 2.091 0.000 2.765
Ca 0.000 2.726 5.050
Ta 2.091 0.000 6.297
Ta 0.000 0.000 7.815
Ta 0.000 2.726 1.518
```